# GGA-PBE Fe2Ir7Os2, optimized geometry
data_Fe2Ir7Os2
_chemical_formula_sum 'Fe2 Ir7 Os2'
_symmetry_space_group_name_H-M 'P 1'
_symmetry_Int_Tables_number 1
_symmetry_space_group_name_Hall 'P 1'
_cell_length_a 5.094
_cell_length_b 5.094
_cell_length_c 6.360
_cell_angle_alpha 97.23
_cell_angle_beta 97.23
_cell_angle_gamma 90.46
loop_
_atom_site_label
_atom_site_fract_x
_atom_site_fract_y
_atom_site_fract_z
Fe1 0.092 0.092 0.364
Fe2 0.908 0.908 0.636
Ir1 0.004 0.583 0.315
Ir2 0.189 0.189 0.017
Ir3 0.417 0.996 0.685
Ir4 0.500 0.500 0.500
Ir5 0.583 0.004 0.315
Ir6 0.811 0.811 0.983
Ir7 0.996 0.417 0.685
Os1 0.324 0.676 0.000
Os2 0.676 0.324 0.000
# Space-group type: No. 12
# D(E_F): 12.3 states/eV/f.u.
# Energy of formation from the pure elements: 0.375 eV/atom

=====

# GGA-PBE Fe2Ir6Os, optimized geometry
data_Fe2Ir6Os
_chemical_formula_sum 'Fe2 Ir6 Os1'
_symmetry_space_group_name_H-M 'P 1'
_symmetry_Int_Tables_number 1
_symmetry_space_group_name_Hall 'P 1'
_cell_length_a 4.693
_cell_length_b 4.694
_cell_length_c 6.758
_cell_angle_alpha 96.63
_cell_angle_beta 96.88
_cell_angle_gamma 119.96
loop_
_atom_site_label
_atom_site_fract_x
_atom_site_fract_y
_atom_site_fract_z
Fe1 0.111 0.441 0.335
Fe2 0.889 0.559 0.665
Ir1 0.221 0.223 0.665
Ir2 0.328 0.662 0.997
Ir3 0.449 0.116 0.336
Ir4 0.551 0.884 0.664
Ir5 0.672 0.338 0.003
Ir6 0.779 0.777 0.335
Os1 0.000 0.000 0.000
# Space-group type: No. 2
# D(E_F): 9.4 states/eV/f.u.
# Energy of formation from the pure elements: -0.012 eV/atom

=====

# GGA-PBE FeIrOs2, optimized geometry
data_FeIrOs2
_chemical_formula_sum 'Fe4 Ir4 Os8'
_symmetry_space_group_name_H-M 'P 1'
_symmetry_Int_Tables_number 1
_symmetry_space_group_name_Hall 'P 1'
_cell_length_a 4.671
_cell_length_b 5.383
_cell_length_c 8.829
_cell_angle_alpha 89.97
_cell_angle_beta 80.33
_cell_angle_gamma 89.92
loop_
_atom_site_label
_atom_site_fract_x
_atom_site_fract_y
_atom_site_fract_z
Fe1 0.123 0.496 0.122
Fe2 0.287 0.500 0.630
Fe3 0.713 0.500 0.370
Fe4 0.877 0.504 0.878
Ir1 0.211 0.739 0.374
Ir2 0.371 0.738 0.877
Ir3 0.629 0.262 0.123
Ir4 0.789 0.261 0.626
Os1 0.127 0.997 0.124
Os2 0.212 0.249 0.373
Os3 0.287 0.000 0.628
Os4 0.365 0.256 0.878
Os5 0.635 0.744 0.122
Os6 0.713 0.000 0.372
Os7 0.788 0.751 0.627
Os8 0.873 0.003 0.876
# Space-group type: No. 2
# D(E_F): 3.9 states/eV/f.u.
# Energy of formation from the pure elements: 0.034 eV/atom

=====

# GGA-PBE FeIrOs2, optimized geometry
data_FeIrOs2
_chemical_formula_sum 'Fe1 Ir1 Os2'
_symmetry_space_group_name_H-M 'P 1'
_symmetry_Int_Tables_number 1
_symmetry_space_group_name_Hall 'P 1'
_cell_length_a 4.321
_cell_length_b 4.321
_cell_length_c 4.321
_cell_angle_alpha 60.00
_cell_angle_beta 60.00
_cell_angle_gamma 60.00
loop_
_atom_site_label
_atom_site_fract_x
_atom_site_fract_y
_atom_site_fract_z
Fe1 0.000 0.000 0.000
Ir1 0.750 0.750 0.750
Os1 0.250 0.250 0.250
Os2 0.500 0.500 0.500
# Space-group type: No. 216
# D(E_F): 4.6 states/eV/f.u.
# Energy of formation from the pure elements: 0.501 eV/atom

=====

- Among the records above, which one has the lowest D(E_F)?
  number 3

=====

Copy entry 4 word for word.
# GGA-PBE FeIrOs2, optimized geometry
data_FeIrOs2
_chemical_formula_sum 'Fe1 Ir1 Os2'
_symmetry_space_group_name_H-M 'P 1'
_symmetry_Int_Tables_number 1
_symmetry_space_group_name_Hall 'P 1'
_cell_length_a 4.321
_cell_length_b 4.321
_cell_length_c 4.321
_cell_angle_alpha 60.00
_cell_angle_beta 60.00
_cell_angle_gamma 60.00
loop_
_atom_site_label
_atom_site_fract_x
_atom_site_fract_y
_atom_site_fract_z
Fe1 0.000 0.000 0.000
Ir1 0.750 0.750 0.750
Os1 0.250 0.250 0.250
Os2 0.500 0.500 0.500
# Space-group type: No. 216
# D(E_F): 4.6 states/eV/f.u.
# Energy of formation from the pure elements: 0.501 eV/atom

=====

- The lowest D(E_F) belongs to which entry?
  number 3

=====

- Which of these has the lowest D(E_F)?
  number 3